Entry 1:
Entry from Alexandria: Ce5ThSb3 after structural relaxation (PBE).

Structure (POSCAR):
```
Ce5ThSb3
1.0
9.472 0.000 0.000
-4.736 8.203 0.000
0.000 0.000 6.495
Ce Th Sb
10 2 6
direct
0.000 0.336 0.250 Ce
0.000 0.664 0.750 Ce
0.333 0.667 0.000 Ce
0.333 0.667 0.500 Ce
0.336 0.000 0.250 Ce
0.336 0.336 0.750 Ce
0.664 0.000 0.750 Ce
0.664 0.664 0.250 Ce
0.667 0.333 0.000 Ce
0.667 0.333 0.500 Ce
0.000 0.000 0.000 Th
0.000 0.000 0.500 Th
0.000 0.332 0.750 Sb
0.000 0.668 0.250 Sb
0.332 0.000 0.750 Sb
0.332 0.332 0.250 Sb
0.668 0.000 0.250 Sb
0.668 0.668 0.750 Sb
```

ΔE_f (raw) (eV/f.u.): -5.90
Density of states at the Fermi level (states/eV/cell): 48.70
Symmetry: P6_3/mcm



Entry 2:
Entry from Alexandria: Pr12Sm7Pu after structural relaxation (PBE).

Structure (POSCAR):
```
Pr12Sm7Pu
1.0
9.898 5.715 2.103
-9.898 5.715 2.103
0.000 -11.430 2.103
Pr Sm Pu
12 7 1
direct
0.000 0.412 0.588 Pr
0.000 0.588 0.412 Pr
0.070 0.070 0.425 Pr
0.070 0.425 0.070 Pr
0.412 0.000 0.588 Pr
0.412 0.588 0.000 Pr
0.425 0.070 0.070 Pr
0.575 0.930 0.930 Pr
0.588 0.000 0.412 Pr
0.588 0.412 0.000 Pr
0.930 0.575 0.930 Pr
0.930 0.930 0.575 Pr
0.000 0.000 0.000 Sm
0.141 0.383 0.384 Sm
0.383 0.384 0.141 Sm
0.384 0.141 0.383 Sm
0.616 0.859 0.617 Sm
0.617 0.616 0.859 Sm
0.859 0.617 0.616 Sm
0.500 0.500 0.500 Pu
```

Calculated formation energy (eV per atom): 0.207
Density of states at the Fermi level (states/eV/cell): 31.08
Symmetry: R-3



Entry 3:
Entry from Alexandria: La5As4O after structural relaxation (PBE).

Structure (POSCAR):
```
La5As4O
1.0
-4.758 4.758 3.071
4.758 -4.758 3.071
4.758 4.758 -3.071
La As O
5 4 1
direct
0.000 0.000 0.000 La
0.147 0.339 0.614 La
0.339 0.725 0.192 La
0.533 0.147 0.808 La
0.725 0.533 0.386 La
0.031 0.635 0.794 As
0.237 0.031 0.396 As
0.635 0.840 0.604 As
0.840 0.237 0.206 As
0.366 0.366 0.000 O
```

ΔE_f (raw) (eV/f.u.): -17.68
Density of states at the Fermi level (states/eV/cell): 2.70
Symmetry: I4



Entry 4:
Entry from Alexandria: CoTeCl after structural relaxation (PBE).

Structure (POSCAR):
```
CoTeCl
1.0
-1.580 1.580 6.172
1.580 -1.580 6.172
1.580 1.580 -6.172
Co Te Cl
1 1 1
direct
0.000 0.000 0.000 Co
0.389 0.389 0.000 Te
0.633 0.633 0.000 Cl
```

ΔE_f (raw) (eV/f.u.): 0.25
Density of states at the Fermi level (states/eV/cell): 0.54
Symmetry: I4mm



Entry 5:
Entry from Alexandria: NaHfSc after structural relaxation (PBE).

Structure (POSCAR):
```
NaHfSc
1.0
5.481 0.000 0.000
-2.740 4.746 0.000
0.000 0.000 5.838
Na Hf Sc
2 2 2
direct
0.000 0.000 0.000 Na
0.000 0.000 0.500 Na
0.333 0.667 0.250 Hf
0.667 0.333 0.750 Hf
0.333 0.667 0.750 Sc
0.667 0.333 0.250 Sc
```

Calculated formation energy (eV per atom): 0.738
Energy above the most stable polymorph in this dataset (meV/atom): 578
Density of states at the Fermi level (states/eV/cell): 7.72
Symmetry: P6_3/mmc



Entry 6:
Entry from Alexandria: BaHgRu3 after structural relaxation (PBE).

Structure (POSCAR):
```
BaHgRu3
1.0
5.117 0.000 0.000
0.000 5.117 0.000
0.000 0.000 5.117
Ba Hg Ru
1 1 3
direct
0.000 0.000 0.000 Ba
0.500 0.500 0.500 Hg
0.000 0.000 0.500 Ru
0.000 0.500 0.000 Ru
0.500 0.000 0.000 Ru
```

Calculated formation energy (eV per atom): 2.498
Energy above the most stable polymorph in this dataset (meV/atom): 877
Density of states at the Fermi level (states/eV/cell): 7.46
Symmetry: Pm-3m



Entry 7:
Entry from Alexandria: Ta5Mo after structural relaxation (PBE).

Structure (POSCAR):
```
Ta5Mo
1.0
3.267 0.000 0.000
0.000 3.267 0.000
0.000 0.000 9.972
Ta Mo
5 1
direct
0.000 0.000 0.000 Ta
0.000 0.000 0.341 Ta
0.000 0.000 0.659 Ta
0.500 0.500 0.168 Ta
0.500 0.500 0.832 Ta
0.500 0.500 0.500 Mo
```

Calculated formation energy (eV per atom): -0.073
Energy above the most stable polymorph in this dataset (meV/atom): 0
Density of states at the Fermi level (states/eV/cell): 5.85
Symmetry: P4/mmm



Entry 8:
Entry from Alexandria: NaCr2PbCl8 after structural relaxation (PBE).

Structure (POSCAR):
```
NaCr2PbCl8
1.0
-4.610 4.610 4.175
4.610 -4.610 4.175
4.610 4.610 -4.175
Na Cr Pb Cl
1 2 1 8
direct
0.000 0.000 0.000 Na
0.500 0.500 0.000 Cr
0.750 0.250 0.500 Cr
0.250 0.750 0.500 Pb
0.309 0.130 0.821 Cl
0.309 0.488 0.179 Cl
0.384 0.061 0.323 Cl
0.512 0.691 0.821 Cl
0.738 0.061 0.677 Cl
0.870 0.691 0.179 Cl
0.939 0.262 0.323 Cl
0.939 0.616 0.677 Cl
```

ΔE_f (raw) (eV/f.u.): -12.72
Density of states at the Fermi level (states/eV/cell): 6.17
Symmetry: I-4m2